Version a
Compound: BeCoBW
Source: OQMD via LeMat-Bulk
Functional: GGA-PBE
Structure: optimized geometry

Output
Symmetry: F-43m
Crystal system: cubic
Density in Mg/m³: 10.48

Lattice parameters (Å, degrees): 3.889 3.889 3.889 60.00 60.00 60.00
Fractional coordinates of all 4 atoms:
Be1 0.000 0.000 0.000
Co1 0.500 0.500 0.500
B1 0.250 0.250 0.250
W1 0.750 0.750 0.750



Version b
Compound: BeCoBW
Source: OQMD via LeMat-Bulk
Functional: GGA-PBE
Structure: optimized geometry

Output
Symmetry: F-43m
Crystal system: cubic
Density in Mg/m³: 10.92

Lattice parameters (Å, degrees): 3.837 3.837 3.837 60.00 60.00 60.00
Fractional coordinates of all 4 atoms:
Be1 0.000 0.000 0.000
Co1 0.750 0.750 0.750
B1 0.500 0.500 0.500
W1 0.250 0.250 0.250



Most stable to least stable, the ends of the list are version b and version a.



Version a
Compound: YBeCoB
Source: OQMD via LeMat-Bulk
Functional: GGA-PBE
Structure: optimized geometry

Output
Symmetry: F-43m
Crystal system: cubic
Density in Mg/m³: 5.51

Lattice parameters (Å, degrees): 4.149 4.149 4.149 60.00 60.00 60.00
Fractional coordinates of all 4 atoms:
Y1 0.000 0.000 0.000
Be1 0.250 0.250 0.250
Co1 0.750 0.750 0.750
B1 0.500 0.500 0.500



Version b
Compound: YBeCoB
Source: OQMD via LeMat-Bulk
Functional: GGA-PBE
Structure: optimized geometry

Output
Symmetry: F-43m
Crystal system: cubic
Density in Mg/m³: 5.62

Lattice parameters (Å, degrees): 4.123 4.123 4.123 60.00 60.00 60.00
Fractional coordinates of all 4 atoms:
Y1 0.000 0.000 0.000
Be1 0.750 0.750 0.750
Co1 0.500 0.500 0.500
B1 0.250 0.250 0.250



Most stable to least stable, the ends of the list are version b and version a.



Version a
Compound: ZrBeCoB
Source: OQMD via LeMat-Bulk
Functional: GGA-PBE
Structure: optimized geometry

Output
Symmetry: F-43m
Crystal system: cubic
Density in Mg/m³: 6.32

Lattice parameters (Å, degrees): 3.983 3.983 3.983 60.00 60.00 60.00
Fractional coordinates of all 4 atoms:
Zr1 0.000 0.000 0.000
Be1 0.750 0.750 0.750
Co1 0.500 0.500 0.500
B1 0.250 0.250 0.250



Version b
Compound: ZrBeCoB
Source: OQMD via LeMat-Bulk
Functional: GGA-PBE
Structure: optimized geometry

Output
Symmetry: F-43m
Crystal system: cubic
Density in Mg/m³: 6.06

Lattice parameters (Å, degrees): 4.038 4.038 4.038 60.00 60.00 60.00
Fractional coordinates of all 4 atoms:
Zr1 0.000 0.000 0.000
Be1 0.500 0.500 0.500
Co1 0.750 0.750 0.750
B1 0.250 0.250 0.250



Version c
Compound: ZrBeCoB
Source: OQMD via LeMat-Bulk
Functional: GGA-PBE
Structure: optimized geometry

Output
Symmetry: F-43m
Crystal system: cubic
Density in Mg/m³: 6.25

Lattice parameters (Å, degrees): 3.998 3.998 3.998 60.00 60.00 60.00
Fractional coordinates of all 4 atoms:
Zr1 0.000 0.000 0.000
Be1 0.250 0.250 0.250
Co1 0.750 0.750 0.750
B1 0.500 0.500 0.500



Most stable to least stable, the ends of the list are version a and version c.



Version a
Compound: BeCuB4
Source: OQMD via LeMat-Bulk
Functional: GGA-PBE
Structure: optimized geometry

Output
Symmetry: P6/mmm
Crystal system: hexagonal
Density in Mg/m³: 4.06

Lattice parameters (Å, degrees): 2.957 2.957 6.252 90.00 90.00 120.00
Fractional coordinates of all 6 atoms:
Be1 0.000 0.000 0.000
Cu1 0.000 0.000 0.500
B1 0.333 0.667 0.220
B2 0.333 0.667 0.780
B3 0.667 0.333 0.220
B4 0.667 0.333 0.780



Version b
Compound: BeCuB4
Source: OQMD via LeMat-Bulk
Functional: GGA-PBE
Structure: optimized geometry

Output
Symmetry: Immm
Crystal system: orthorhombic
Density in Mg/m³: 4.05

Lattice parameters (Å, degrees): 4.303 4.303 4.303 139.73 106.73 87.08
Fractional coordinates of all 6 atoms:
Be1 0.000 0.000 0.000
Cu1 0.500 0.500 0.000
B1 0.071 0.739 0.333
B2 0.406 0.739 0.667
B3 0.594 0.261 0.333
B4 0.929 0.261 0.667



Most stable to least stable, the ends of the list are version a and version b.



Version a
Compound: BeCu2B
Source: OQMD via LeMat-Bulk
Functional: GGA-PBE
Structure: optimized geometry

Output
Symmetry: Pm-3m
Crystal system: cubic
Density in Mg/m³: 6.62

Lattice parameters (Å, degrees): 5.281 5.281 5.281 90.00 90.00 90.00
Fractional coordinates of all 16 atoms:
Be1 0.000 0.000 0.000
Be2 0.000 0.000 0.500
Be3 0.000 0.500 0.000
Be4 0.500 0.000 0.000
Cu1 0.258 0.258 0.258
Cu2 0.258 0.258 0.742
Cu3 0.258 0.742 0.258
Cu4 0.258 0.742 0.742
Cu5 0.742 0.258 0.258
Cu6 0.742 0.258 0.742
Cu7 0.742 0.742 0.258
Cu8 0.742 0.742 0.742
B1 0.000 0.500 0.500
B2 0.500 0.000 0.500
B3 0.500 0.500 0.000
B4 0.500 0.500 0.500



Version b
Compound: BeCu2B
Source: OQMD via LeMat-Bulk
Functional: GGA-PBE
Structure: optimized geometry

Output
Symmetry: F-43m
Crystal system: cubic
Density in Mg/m³: 6.45

Lattice parameters (Å, degrees): 3.768 3.768 3.768 60.00 60.00 60.00
Fractional coordinates of all 4 atoms:
Be1 0.000 0.000 0.000
Cu1 0.500 0.500 0.500
Cu2 0.750 0.750 0.750
B1 0.250 0.250 0.250



Most stable to least stable, the ends of the list are version a and version b.



Version a
Compound: HfBeCuB
Source: OQMD via LeMat-Bulk
Functional: GGA-PBE
Structure: optimized geometry

Output
Symmetry: F-43m
Crystal system: cubic
Density in Mg/m³: 9.17

Lattice parameters (Å, degrees): 4.062 4.062 4.062 60.00 60.00 60.00
Fractional coordinates of all 4 atoms:
Hf1 0.000 0.000 0.000
Be1 0.250 0.250 0.250
Cu1 0.750 0.750 0.750
B1 0.500 0.500 0.500



Version b
Compound: HfBeCuB
Source: OQMD via LeMat-Bulk
Functional: GGA-PBE
Structure: optimized geometry

Output
Symmetry: F-43m
Crystal system: cubic
Density in Mg/m³: 9.34

Lattice parameters (Å, degrees): 4.038 4.038 4.038 60.00 60.00 60.00
Fractional coordinates of all 4 atoms:
Hf1 0.000 0.000 0.000
Be1 0.750 0.750 0.750
Cu1 0.500 0.500 0.500
B1 0.250 0.250 0.250



Most stable to least stable, the ends of the list are version b and version a.



Version a
Compound: BeCuHgB
Source: OQMD via LeMat-Bulk
Functional: GGA-PBE
Structure: optimized geometry

Output
Symmetry: F-43m
Crystal system: cubic
Density in Mg/m³: 9.86

Lattice parameters (Å, degrees): 4.074 4.074 4.074 60.00 60.00 60.00
Fractional coordinates of all 4 atoms:
Be1 0.000 0.000 0.000
Cu1 0.750 0.750 0.750
Hg1 0.250 0.250 0.250
B1 0.500 0.500 0.500



Version b
Compound: BeCuHgB
Source: OQMD via LeMat-Bulk
Functional: GGA-PBE
Structure: optimized geometry

Output
Symmetry: F-43m
Crystal system: cubic
Density in Mg/m³: 9.28

Lattice parameters (Å, degrees): 4.158 4.158 4.158 60.00 60.00 60.00
Fractional coordinates of all 4 atoms:
Be1 0.000 0.000 0.000
Cu1 0.500 0.500 0.500
Hg1 0.750 0.750 0.750
B1 0.250 0.250 0.250



Most stable to least stable, the ends of the list are version a and version b.



Version a
Compound: BeCuBIr
Source: OQMD via LeMat-Bulk
Functional: GGA-PBE
Structure: optimized geometry

Output
Symmetry: F-43m
Crystal system: cubic
Density in Mg/m³: 10.63

Lattice parameters (Å, degrees): 3.934 3.934 3.934 60.00 60.00 60.00
Fractional coordinates of all 4 atoms:
Be1 0.000 0.000 0.000
Cu1 0.500 0.500 0.500
B1 0.250 0.250 0.250
Ir1 0.750 0.750 0.750



Version b
Compound: BeCuBIr
Source: OQMD via LeMat-Bulk
Functional: GGA-PBE
Structure: optimized geometry

Output
Symmetry: F-43m
Crystal system: cubic
Density in Mg/m³: 11.40

Lattice parameters (Å, degrees): 3.843 3.843 3.843 60.00 60.00 60.00
Fractional coordinates of all 4 atoms:
Be1 0.000 0.000 0.000
Cu1 0.750 0.750 0.750
B1 0.500 0.500 0.500
Ir1 0.250 0.250 0.250



Most stable to least stable, the ends of the list are version b and version a.



Version a
Compound: LuBeCuB
Source: OQMD via LeMat-Bulk
Functional: GGA-PBE
Structure: optimized geometry

Output
Symmetry: F-43m
Crystal system: cubic
Density in Mg/m³: 8.52

Lattice parameters (Å, degrees): 4.144 4.144 4.144 60.00 60.00 60.00
Fractional coordinates of all 4 atoms:
Lu1 0.000 0.000 0.000
Be1 0.750 0.750 0.750
Cu1 0.500 0.500 0.500
B1 0.250 0.250 0.250



Version b
Compound: LuBeCuB
Source: OQMD via LeMat-Bulk
Functional: GGA-PBE
Structure: optimized geometry

Output
Symmetry: F-43m
Crystal system: cubic
Density in Mg/m³: 8.57

Lattice parameters (Å, degrees): 4.137 4.137 4.137 60.00 60.00 60.00
Fractional coordinates of all 4 atoms:
Lu1 0.000 0.000 0.000
Be1 0.250 0.250 0.250
Cu1 0.750 0.750 0.750
B1 0.500 0.500 0.500



Most stable to least stable, the ends of the list are version a and version b.



Version a
Compound: BeCuBPd
Source: OQMD via LeMat-Bulk
Functional: GGA-PBE
Structure: optimized geometry

Output
Symmetry: F-43m
Crystal system: cubic
Density in Mg/m³: 7.76

Lattice parameters (Å, degrees): 3.859 3.859 3.859 60.00 60.00 60.00
Fractional coordinates of all 4 atoms:
Be1 0.000 0.000 0.000
Cu1 0.750 0.750 0.750
B1 0.500 0.500 0.500
Pd1 0.250 0.250 0.250



Version b
Compound: BeCuBPd
Source: OQMD via LeMat-Bulk
Functional: GGA-PBE
Structure: optimized geometry

Output
Symmetry: F-43m
Crystal system: cubic
Density in Mg/m³: 7.31

Lattice parameters (Å, degrees): 3.936 3.936 3.936 60.00 60.00 60.00
Fractional coordinates of all 4 atoms:
Be1 0.000 0.000 0.000
Cu1 0.500 0.500 0.500
B1 0.750 0.750 0.750
Pd1 0.250 0.250 0.250



Most stable to least stable, the ends of the list are version a and version b.



Version a
Compound: BeCuBW
Source: OQMD via LeMat-Bulk
Functional: GGA-PBE
Structure: optimized geometry

Output
Symmetry: F-43m
Crystal system: cubic
Density in Mg/m³: 10.07

Lattice parameters (Å, degrees): 3.965 3.965 3.965 60.00 60.00 60.00
Fractional coordinates of all 4 atoms:
Be1 0.000 0.000 0.000
Cu1 0.500 0.500 0.500
B1 0.250 0.250 0.250
W1 0.750 0.750 0.750



Version b
Compound: BeCuBW
Source: OQMD via LeMat-Bulk
Functional: GGA-PBE
Structure: optimized geometry

Output
Symmetry: F-43m
Crystal system: cubic
Density in Mg/m³: 10.68

Lattice parameters (Å, degrees): 3.888 3.888 3.888 60.00 60.00 60.00
Fractional coordinates of all 4 atoms:
Be1 0.000 0.000 0.000
Cu1 0.750 0.750 0.750
B1 0.500 0.500 0.500
W1 0.250 0.250 0.250



Most stable to least stable, the ends of the list are version b and version a.



Version a
Compound: YBeCuB
Source: OQMD via LeMat-Bulk
Functional: GGA-PBE
Structure: optimized geometry

Output
Symmetry: F-43m
Crystal system: cubic
Density in Mg/m³: 5.37

Lattice parameters (Å, degrees): 4.224 4.224 4.224 60.00 60.00 60.00
Fractional coordinates of all 4 atoms:
Y1 0.000 0.000 0.000
Be1 0.750 0.750 0.750
Cu1 0.250 0.250 0.250
B1 0.500 0.500 0.500



Version b
Compound: YBeCuB
Source: OQMD via LeMat-Bulk
Functional: GGA-PBE
Structure: optimized geometry

Output
Symmetry: F-43m
Crystal system: cubic
Density in Mg/m³: 5.38

Lattice parameters (Å, degrees): 4.220 4.220 4.220 60.00 60.00 60.00
Fractional coordinates of all 4 atoms:
Y1 0.000 0.000 0.000
Be1 0.750 0.750 0.750
Cu1 0.500 0.500 0.500
B1 0.250 0.250 0.250



Most stable to least stable, the ends of the list are version b and version a.



Version a
Compound: ZrBeCuB
Source: OQMD via LeMat-Bulk
Functional: GGA-PBE
Structure: optimized geometry

Output
Symmetry: F-43m
Crystal system: cubic
Density in Mg/m³: 5.99

Lattice parameters (Å, degrees): 4.090 4.090 4.090 60.00 60.00 60.00
Fractional coordinates of all 4 atoms:
Zr1 0.000 0.000 0.000
Be1 0.750 0.750 0.750
Cu1 0.250 0.250 0.250
B1 0.500 0.500 0.500



Version b
Compound: ZrBeCuB
Source: OQMD via LeMat-Bulk
Functional: GGA-PBE
Structure: optimized geometry

Output
Symmetry: F-43m
Crystal system: cubic
Density in Mg/m³: 6.16

Lattice parameters (Å, degrees): 4.052 4.052 4.052 60.00 60.00 60.00
Fractional coordinates of all 4 atoms:
Zr1 0.000 0.000 0.000
Be1 0.750 0.750 0.750
Cu1 0.500 0.500 0.500
B1 0.250 0.250 0.250



Most stable to least stable, the ends of the list are version b and version a.



Version a
Compound: DyBeB4
Source: OQMD via LeMat-Bulk
Functional: GGA-PBE
Structure: optimized geometry

Output
Symmetry: Immm
Crystal system: orthorhombic
Density in Mg/m³: 5.76

Lattice parameters (Å, degrees): 4.837 4.837 4.837 141.81 114.97 77.99
Fractional coordinates of all 6 atoms:
Dy1 0.000 0.000 0.000
Be1 0.500 0.500 0.000
B1 0.067 0.741 0.326
B2 0.416 0.741 0.674
B3 0.584 0.259 0.326
B4 0.933 0.259 0.674



Version b
Compound: DyBeB4
Source: OQMD via LeMat-Bulk
Functional: GGA-PBE
Structure: optimized geometry

Output
Symmetry: P6/mmm
Crystal system: hexagonal
Density in Mg/m³: 6.39

Lattice parameters (Å, degrees): 3.107 3.107 6.682 90.00 90.00 120.00
Fractional coordinates of all 6 atoms:
Dy1 0.000 0.000 0.000
Be1 0.000 0.000 0.500
B1 0.333 0.667 0.296
B2 0.333 0.667 0.704
B3 0.667 0.333 0.296
B4 0.667 0.333 0.704



Most stable to least stable, the ends of the list are version b and version a.